The following is a PBE-GGA calculation of a relaxed Pr6AsRu2Br3 crystal, from Alexandria via LeMat-Bulk.

Cell lengths 7.3331, 12.6961, 8.0916 Å; angles 90.00, 107.72, 90.00 degrees
Last column: nearest neighbours and their distance in Å.
Space group C2/m (No. 12)
Symmetry-distinct sites (fractional):
Pr 0.2150 0.0000 0.1995 x4  2 Ru 2.84, 1 As 3.00
Pr 0.2411 0.3244 0.2002 x8  2 Ru 2.83-2.85, 1 As 3.00
As 0.0000 0.5000 0.0000 x2  6 Pr 3.00
Ru 0.0000 0.1671 0.0000 x4  6 Pr 2.83-2.85
Br 0.0000 0.0000 0.5000 x2  6 Pr 3.28-3.41
Br 0.0000 0.3366 0.5000 x4  6 Pr 3.30-3.41

Properties
- raw total energy (eV/atom) = -5.7234
- crystal system = monoclinic
- ΔE_f (raw) (meV/atom) = -982.0


The following is a PBE-GGA calculation of a relaxed ZrPt2Cl crystal, from Alexandria via LeMat-Bulk.

Cell lengths 3.6652, 3.6413, 5.5074 Å; angles 90.00, 96.08, 90.00 degrees
Last column: nearest neighbours and their distance in Å.
Space group P2/m (No. 10)
Symmetry-distinct sites (fractional):
Zr 0.0000 0.0000 0.0000 x1  2 Cl 2.75, 8 Pt 2.86-2.95
Pt 0.4797 0.5000 0.7565 x2  2 Pt 2.67-2.84, 2 Cl 2.81, 4 Zr 2.86-2.95
Cl 0.0000 0.0000 0.5000 x1  2 Zr 2.75, 4 Pt 2.81

Properties
- relative energy among the computed polymorphs (meV per atom) = 113
- raw total energy (eV/atom) = -6.1677
- crystal system = monoclinic
- ΔE_f (raw) (meV/atom) = -548.7


The following is a PBE-GGA calculation of a relaxed BaLi4Tl crystal, from Alexandria via LeMat-Bulk.

Cell lengths 8.4098, 8.4098, 8.4098 Å; angles 90.00, 90.00, 90.00 degrees
Last column: nearest neighbours and their distance in Å.
Space group F-43m (No. 216)
Symmetry-distinct sites (fractional):
Ba 0.0000 0.0000 0.0000 x4  12 Li 3.50, 4 Tl 3.64
Li 0.1215 0.1215 0.6215 x16  6 Li 2.89-3.06
Tl 0.2500 0.2500 0.2500 x4  12 Li 3.48, 4 Ba 3.64

Properties
- relative energy among the computed polymorphs (meV per atom) = 0
- raw total energy (eV/atom) = -2.1161
- crystal system = cubic
- ΔH_f (0 K) (eV/atom) = -0.125


The following is a PBE-GGA calculation of a relaxed Np2SnIr crystal, from Alexandria via LeMat-Bulk.

Cell lengths 3.8814, 3.8814, 5.8059 Å; angles 90.00, 90.00, 90.00 degrees
Last column: nearest neighbours and their distance in Å.
Space group P4/mmm (No. 123)
Symmetry-distinct sites (fractional):
Np 0.0000 0.0000 0.2266 x2  1 Np 2.63
Sn 0.5000 0.5000 0.5000 x1  2 Ir 2.90, 8 Np 3.17
Ir 0.5000 0.5000 0.0000 x1  2 Sn 2.90, 8 Np 3.04

Properties
- relative energy among the computed polymorphs (meV per atom) = 0
- raw total energy (eV/atom) = -9.8067
- crystal system = tetragonal
- ΔH_f (0 K) (eV/atom) = -0.120


The following is a PBE-GGA calculation of a relaxed Ho2ErAlN crystal, from Alexandria via LeMat-Bulk.

Cell lengths 4.7447, 4.7447, 4.7194 Å; angles 90.00, 90.00, 90.00 degrees
Last column: nearest neighbours and their distance in Å.
Space group P4/mmm (No. 123)
Symmetry-distinct sites (fractional):
Ho 0.0000 0.5000 0.0000 x2  2 N 2.37
Er 0.0000 0.0000 0.5000 x1  2 N 2.36
Al 0.5000 0.5000 0.5000 x1  8 Ho 3.35, 4 Er 3.35
N 0.0000 0.0000 0.0000 x1  2 Er 2.36, 4 Ho 2.37

Properties
- raw total energy (eV/atom) = -6.0940
- crystal system = tetragonal
- ΔE_f (raw) (meV/atom) = -936.7


The following is a PBE-GGA calculation of a relaxed ThUC3 crystal, from Alexandria via LeMat-Bulk.

Cell lengths 6.4316, 3.4994, 7.1397 Å; angles 90.00, 90.00, 90.00 degrees
Last column: nearest neighbours and their distance in Å.
Space group Pmma (No. 51)
Symmetry-distinct sites (fractional):
Th 0.2500 0.0000 0.1865 x2  8 C 2.72-2.73
U 0.2500 0.5000 0.7580 x2  4 C 2.34-2.36
C 0.0000 0.5000 0.0000 x2  2 U 2.36
C 0.0546 0.5000 0.4215 x4  1 C 1.32

Properties
- raw total energy (eV/atom) = -9.0136
- crystal system = orthorhombic
- ΔH_f (0 K) (eV/atom) = 0.262


The following is a PBE-GGA calculation of a relaxed Re2NiAs crystal, from Alexandria via LeMat-Bulk.

Cell lengths 2.9164, 4.6224, 8.7902 Å; angles 90.00, 90.00, 90.00 degrees
Last column: nearest neighbours and their distance in Å.
Space group Cmm2 (No. 35)
Symmetry-distinct sites (fractional):
Re 0.0000 0.0000 0.0000 x2  2 Ni 2.59, 6 Re 2.62-2.73
Re 0.0000 0.5000 0.2472 x2  8 Re 2.62-2.92, 2 As 2.85
Ni 0.0000 0.5000 0.7560 x2  2 As 2.49, 2 Re 2.59, 4 Ni 2.73
As 0.0000 0.0000 0.5258 x2  2 Ni 2.49, 4 As 2.73

Properties
- raw total energy (eV/atom) = -8.4272
- crystal system = orthorhombic
- ΔH_f (0 K) (eV/atom) = 0.405


The following is a PBE-GGA calculation of a relaxed LiGdIr crystal, from Alexandria via LeMat-Bulk.

Cell lengths 3.5482, 3.5482, 9.0575 Å; angles 90.00, 90.00, 90.00 degrees
Last column: nearest neighbours and their distance in Å.
Space group I4mm (No. 107)
Symmetry-distinct sites (fractional):
Li 0.0000 0.0000 0.0000 x2  1 Gd 2.70, 4 Ir 2.79
Gd 0.0000 0.0000 0.7018 x2  1 Li 2.70, 4 Ir 2.91
Ir 0.0000 0.0000 0.3643 x2  4 Li 2.79, 5 Gd 2.91-3.06

Properties
- relative energy among the computed polymorphs (meV per atom) = 74
- raw total energy (eV/atom) = -8.6004
- crystal system = tetragonal
- ΔH_f (0 K) (eV/atom) = -0.315